Record 1
A relaxed FeBi3Pt crystal, computed with PBE-GGA.

The value obtained for the energy above the most stable polymorph in this dataset is 0.0 meV/atom. As for the total energy: -4.68 eV/atom. For the formation energy, the calculation gives 549 meV per atom.

a = 5.0150 Å, b = 5.0150 Å, c = 5.0150 Å
α = 90.00°, β = 90.00°, γ = 90.00°
With the nearest neighbours (Å) after each atom.
Fractional coordinates of all 5 atoms:
Pt1 0.5000 0.5000 0.5000  12 Bi 3.55
Bi1 0.5000 0.0000 0.0000  2 Fe 2.51
Bi2 0.0000 0.0000 0.5000  2 Fe 2.51
Bi3 0.0000 0.5000 0.0000  2 Fe 2.51
Fe1 0.0000 0.0000 0.0000  6 Bi 2.51

***

Record 2
A relaxed Sr2TlGaH crystal, computed with PBE-GGA.

As for the total energy: -2.74 eV/atom.

a = 5.4848 Å, b = 5.4848 Å, c = 4.2610 Å
α = 90.00°, β = 90.00°, γ = 90.00°
With the nearest neighbours (Å) after each atom.
Fractional coordinates of all 5 atoms:
H1 0.0000 0.0000 0.0000  2 Ga 2.13
Sr1 0.0000 0.5000 0.0000  2 H 2.74
Sr2 0.5000 0.0000 0.0000  2 H 2.74
Ga1 0.0000 0.0000 0.5000  2 H 2.13
Tl1 0.5000 0.5000 0.5000  8 Sr 3.47, 4 Ga 3.88

***

Number 1: N(E_F) 0.776 states/eV per atom. Number 2: N(E_F) 0.234 states/eV per atom.